{
  "formula": "Al2CrF8",
  "functional": "GGA+U",
  "state": "optimized geometry",
  "final_energy_ev_per_atom": -5.84,
  "spacegroup": "P-3m1 (164)",
  "de_polymorph_ev_per_atom": 0.000,
  "density_kg_m3": 2372,
  "dos_at_fermi_per_ev_atom": 0.53,
  "lattice": [[5.740, 0.000, 0.000], [-2.870, 4.971, 0.000], [0.000, 0.000, 6.327]],
  "species": ["Al", "Al", "Cr", "F", "F", "F", "F", "F", "F", "F", "F"],
  "frac_coords": [[0.333, 0.667, 0.295], [0.667, 0.333, 0.705], [0.000, 0.000, 0.000], [0.174, 0.348, 0.192], [0.174, 0.826, 0.192], [0.333, 0.667, 0.560], [0.348, 0.174, 0.808], [0.652, 0.826, 0.192], [0.667, 0.333, 0.440], [0.826, 0.174, 0.808], [0.826, 0.652, 0.808]]
}